A plane-wave DFT calculation with PBE was carried out for a relaxed AsPt2Br crystal.

## Properties
formation energy (no corrections): 30 meV/atom
density of states at the Fermi level: 0.431 states/eV/atom

```
data_AsPt2Br
_chemical_formula_sum 'As1 Pt2 Br1'
_cell_length_a 4.4750
_cell_length_b 3.9964
_cell_length_c 4.9856
_cell_angle_alpha 90.00
_cell_angle_beta 112.57
_cell_angle_gamma 90.00
_space_group_name_H-M_alt 'P 1 m 1'
_space_group_IT_number 6
loop_
_space_group_symop_operation_xyz
'x,y,z'
'x,-y,z'
loop_
_atom_site_label
_atom_site_type_symbol
_atom_site_fract_x
_atom_site_fract_y
_atom_site_fract_z
_atom_site_occupancy
As1 As 0.0000 0.0000 0.0000 1
Pt1 Pt 0.5591 0.0000 0.3708 1
Pt2 Pt 0.7868 0.5000 0.1449 1
Br1 Br 0.3281 0.5000 0.6213 1
```